Entry from the Alexandria database: a PBEsol-optimized structure of Mg2ZrPbC (SCAN).

It has space group P4/mmm (No. 123), with a = 5.630 Å, b = 5.630 Å, c = 5.525 Å, α = 90.00°, β = 90.00° and γ = 90.00°. The inequivalent atoms are Mg at (0.000, 0.500, 0.000), Zr at (0.000, 0.000, 0.000), Pb at (0.000, 0.000, 0.500) and C at (0.500, 0.500, 0.500).

As for the spin magnetization: 0.15 μB per formula unit. Its formation energy is 2159 meV/atom.

---

Entry from the Alexandria database: a PBEsol-optimized structure of YZr2Zn (SCAN).

It has space group Immm (No. 71), with a = 3.308 Å, b = 4.962 Å, c = 10.704 Å, α = 90.00°, β = 90.00° and γ = 90.00°. The inequivalent atoms are Y at (0.000, 0.000, 0.000), Zr at (0.000, 0.500, 0.217) and Zn at (0.000, 0.000, 0.500).

As for the spin magnetization: 0.00 μB per formula unit. Its formation energy is -157 meV/atom.

---

Entry from the Alexandria database: a PBEsol-optimized structure of CaRh2W (SCAN).

It has space group Pm (No. 6), with a = 2.831 Å, b = 4.706 Å, c = 4.811 Å, α = 90.00°, β = 93.05° and γ = 90.00°. The inequivalent atoms are Ca at (0.000, 0.000, 0.000), Rh at (0.499, 0.500, 0.068), Rh at (0.542, 0.000, 0.489) and W at (0.089, 0.500, 0.563).

As for the spin magnetization: 0.00 μB per formula unit. Its formation energy is 0 meV/atom.

---

Entry from the Alexandria database: a PBEsol-optimized structure of LaAl3Se (SCAN).

It has space group Pm-3m (No. 221), with a = 5.642 Å, b = 5.642 Å, c = 5.642 Å, α = 90.00°, β = 90.00° and γ = 90.00°. The inequivalent atoms are La at (0.000, 0.000, 0.000), Al at (0.000, 0.000, 0.500) and Se at (0.500, 0.500, 0.500).

As for the spin magnetization: 0.00 μB per formula unit. For the calculated total energy, the calculation gives -15.891 eV/atom.

---

Entry from the Alexandria database: a PBEsol-optimized structure of KTlRu (SCAN).

It has space group I4mm (No. 107), with a = 3.023 Å, b = 3.023 Å, c = 14.810 Å, α = 90.00°, β = 90.00° and γ = 90.00°. The inequivalent atoms are K at (0.000, 0.000, 0.000), Tl at (0.000, 0.000, 0.304) and Ru at (0.000, 0.000, 0.674).

As for the spin magnetization: 1.09 μB per formula unit. Its formation energy is 722 meV/atom.

---

Entry from the Alexandria database: a PBEsol-optimized structure of MgRe2Ag (SCAN).

It has space group Pmmm (No. 47), with a = 3.095 Å, b = 4.248 Å, c = 4.714 Å, α = 90.00°, β = 90.00° and γ = 90.00°. The inequivalent atoms are Mg at (0.000, 0.000, 0.000), Re at (0.000, 0.500, 0.500), Re at (0.500, 0.000, 0.500) and Ag at (0.500, 0.500, 0.000).

As for the spin magnetization: 0.00 μB per formula unit. Its formation energy is 347 meV/atom.